Entry 1:
A plane-wave DFT calculation with PBE was carried out for an optimized crystal structure of CsFeB3.

Computed properties:
space-group type = No. 221
energy relative to the elements = 1.10 eV per atom

Cell lengths 4.154, 4.154, 4.154 Å; angles 90.00, 90.00, 90.00 degrees
Fractional coordinates of all 5 atoms:
1 B 0.000 0.500 0.000
2 B 0.000 0.000 0.500
3 B 0.500 0.000 0.000
4 Fe 0.000 0.000 0.000
5 Cs 0.500 0.500 0.500

=====

Entry 2:
A plane-wave DFT calculation with PBE was carried out for an optimized crystal structure of CsFeB2.

Computed properties:
space-group type = No. 141
energy relative to the elements = 0.63 eV per atom

Cell lengths 6.127, 6.127, 6.123 Å; angles 59.98, 59.98, 90.00 degrees
Fractional coordinates of all 8 atoms:
1 B 0.375 0.125 0.250
2 Fe 0.250 0.750 0.500
3 Fe 0.500 0.500 0.000
4 B 0.375 0.625 0.250
5 B 0.875 0.625 0.750
6 Cs 0.750 0.250 0.500
7 B 0.375 0.625 0.750
8 Cs 0.000 0.000 0.000

=====

Entry 3:
A plane-wave DFT calculation with PBE was carried out for an optimized crystal structure of Cs3FeB.

Computed properties:
space-group type = No. 221
energy relative to the elements = 1.90 eV per atom

Cell lengths 5.804, 5.804, 5.804 Å; angles 90.00, 90.00, 90.00 degrees
Fractional coordinates of all 5 atoms:
1 Cs 0.000 0.000 0.500
2 Fe 0.000 0.000 0.000
3 B 0.500 0.500 0.500
4 Cs 0.500 0.000 0.000
5 Cs 0.000 0.500 0.000

=====

Entry 4:
A plane-wave DFT calculation with PBE was carried out for an optimized crystal structure of CsHfFeB2.

Computed properties:
space-group type = No. 123
energy relative to the elements = 1.11 eV per atom

Cell lengths 4.190, 4.768, 4.190 Å; angles 90.00, 90.00, 90.00 degrees
Fractional coordinates of all 5 atoms:
1 B 0.000 0.000 0.500
2 Fe 0.000 0.000 0.000
3 Cs 0.500 0.500 0.500
4 B 0.500 0.000 0.000
5 Hf 0.000 0.500 0.000

=====

Entry 5:
A plane-wave DFT calculation with PBE was carried out for an optimized crystal structure of CsHfFeB2.

Computed properties:
space-group type = No. 123
energy relative to the elements = 1.80 eV per atom

Cell lengths 4.090, 4.999, 4.090 Å; angles 90.00, 90.00, 90.00 degrees
Fractional coordinates of all 5 atoms:
1 B 0.500 0.000 0.000
2 Fe 0.000 0.000 0.000
3 B 0.000 0.000 0.500
4 Cs 0.000 0.500 0.000
5 Hf 0.500 0.500 0.500

=====

Q: What is the formula in the second record?
A: CsFeB2